Material: HgPtF4
Method: DFT, PBE-GGA
State: optimized geometry

The structure in POSCAR format:
```
HgPtF4
1.0
6.758 0.000 3.813
3.379 5.137 1.907
0.855 0.000 6.381
F Hg Pt
8 2 2
Direct
0.290 0.676 0.676 F
0.034 0.676 0.324 F
0.716 0.824 0.176 F
0.460 0.824 0.824 F
0.108 0.176 0.176 F
0.034 0.324 0.676 F
0.716 0.176 0.824 F
0.642 0.324 0.324 F
0.000 0.000 0.000 Hg
0.750 0.500 0.500 Hg
0.500 0.000 0.000 Pt
0.250 0.500 0.500 Pt
```

Calculated values
The excess energy over the best structure of this formula in the dataset comes out at 224 meV/atom. The calculation puts the total energy at -3.223 eV/atom. The value obtained for the energy relative to the elements, uncorrected is -0.9184 eV/atom. The calculation puts the total moment at 2.1 μB/f.u.